1.
Crystalline RbAcHgPb at its relaxed geometry, computed with PBE-GGA.

Values from the calculation:
ΔH_f (0 K) (eV per atom): -0.2726
Fermi-level density of states (states/eV per cell): 0.2

a = 5.918 Å, b = 5.918 Å, c = 5.918 Å
α = 60.00°, β = 60.00°, γ = 60.00°
Fractional positions:
Rb1 0.000 0.000 0.000
Ac1 0.500 0.500 0.500
Hg1 0.750 0.750 0.750
Pb1 0.250 0.250 0.250

2.
Crystalline CeY2ScS6 at its relaxed geometry, computed with PBE-GGA.

Values from the calculation:
Energy relative to the elements, uncorrected (meV per atom): -1963
Fermi-level density of states (states/eV per cell): 5.1

a = 7.311 Å, b = 7.311 Å, c = 7.311 Å
α = 56.19°, β = 56.19°, γ = 56.19°
Fractional positions:
Ce1 0.000 0.000 0.000
Y1 0.292 0.292 0.292
Y2 0.798 0.798 0.798
Sc1 0.492 0.492 0.492
S1 0.103 0.681 0.409
S2 0.216 0.592 0.876
S3 0.409 0.103 0.681
S4 0.592 0.876 0.216
S5 0.681 0.409 0.103
S6 0.876 0.216 0.592

3.
Crystalline Dy6YAl at its relaxed geometry, computed with PBE-GGA.

Values from the calculation:
ΔH_f (0 K) (eV per atom): 0.0422
Fermi-level density of states (states/eV per cell): 11.3

a = 6.259 Å, b = 6.259 Å, c = 6.259 Å
α = 94.12°, β = 94.12°, γ = 94.12°
Fractional positions:
Dy1 0.037 0.557 0.762
Dy2 0.238 0.963 0.443
Dy3 0.443 0.238 0.963
Dy4 0.557 0.762 0.037
Dy5 0.762 0.037 0.557
Dy6 0.963 0.443 0.238
Y1 0.500 0.500 0.500
Al1 0.000 0.000 0.000

4.
Crystalline AlSbBr2 at its relaxed geometry, computed with PBE-GGA.

Values from the calculation:
Excess energy over the best structure of this formula in the dataset (meV/atom): 240
Energy relative to the elements, uncorrected (meV per atom): -97
Fermi-level density of states (states/eV per cell): 2.4

a = 10.244 Å, b = 10.244 Å, c = 10.244 Å
α = 20.10°, β = 20.10°, γ = 20.10°
Fractional positions:
Al1 0.000 0.000 0.000
Sb1 0.500 0.500 0.500
Br1 0.278 0.278 0.278
Br2 0.722 0.722 0.722

5.
Crystalline TmGa4Pt2 at its relaxed geometry, computed with PBE-GGA.

Values from the calculation:
ΔH_f (0 K) (eV per atom): -0.7918
Excess energy over the best structure of this formula in the dataset (meV/atom): 0
Fermi-level density of states (states/eV per cell): 11.1

a = 17.227 Å, b = 4.258 Å, c = 6.711 Å
α = 90.00°, β = 90.00°, γ = 90.00°
Fractional positions:
Tm1 0.142 0.250 0.019
Tm2 0.358 0.750 0.519
Tm3 0.642 0.250 0.481
Tm4 0.858 0.750 0.981
Ga1 0.038 0.750 0.855
Ga2 0.068 0.250 0.485
Ga3 0.185 0.750 0.324
Ga4 0.188 0.750 0.736
Ga5 0.312 0.250 0.236
Ga6 0.315 0.250 0.824
Ga7 0.432 0.750 0.985
Ga8 0.462 0.250 0.355
Ga9 0.538 0.750 0.645
Ga10 0.568 0.250 0.015
Ga11 0.685 0.750 0.176
Ga12 0.688 0.750 0.764
Ga13 0.812 0.250 0.264
Ga14 0.815 0.250 0.676
Ga15 0.932 0.750 0.515
Ga16 0.962 0.250 0.145
Pt1 0.038 0.750 0.247
Pt2 0.216 0.250 0.533
Pt3 0.284 0.750 0.033
Pt4 0.462 0.250 0.747
Pt5 0.538 0.750 0.253
Pt6 0.716 0.250 0.967
Pt7 0.784 0.750 0.467
Pt8 0.962 0.250 0.753

6.
Crystalline Sc4AlCdAg2 at its relaxed geometry, computed with PBE-GGA.

Values from the calculation:
ΔH_f (0 K) (eV per atom): -0.3138
Fermi-level density of states (states/eV per cell): 5.9

a = 8.470 Å, b = 8.470 Å, c = 8.470 Å
α = 33.54°, β = 33.54°, γ = 33.54°
Fractional positions:
Sc1 0.123 0.123 0.123
Sc2 0.373 0.373 0.373
Sc3 0.627 0.627 0.627
Sc4 0.877 0.877 0.877
Al1 0.000 0.000 0.000
Cd1 0.500 0.500 0.500
Ag1 0.250 0.250 0.250
Ag2 0.750 0.750 0.750

7.
Crystalline CdGeBiH at its relaxed geometry, computed with PBE-GGA.

Values from the calculation:
Excess energy over the best structure of this formula in the dataset (meV/atom): 158
Fermi-level density of states (states/eV per cell): 0.4

a = 7.028 Å, b = 7.028 Å, c = 3.514 Å
α = 104.12°, β = 104.12°, γ = 31.78°
Fractional positions:
Cd1 0.000 0.000 0.000
Ge1 0.384 0.384 0.385
Bi1 0.763 0.763 0.769
H1 0.134 0.134 0.120

8.
Crystalline InCu2As at its relaxed geometry, computed with PBE-GGA.

Values from the calculation:
ΔH_f (0 K) (eV per atom): 0.1514
Fermi-level density of states (states/eV per cell): 1.0

a = 3.149 Å, b = 4.072 Å, c = 5.472 Å
α = 90.00°, β = 90.00°, γ = 90.00°
Fractional positions:
In1 0.000 0.000 0.000
Cu1 0.500 0.500 0.235
Cu2 0.500 0.500 0.765
As1 0.500 0.000 0.500

9.
Crystalline DyTaOs4 at its relaxed geometry, computed with PBE-GGA.

Values from the calculation:
ΔH_f (0 K) (eV per atom): -0.0740
Fermi-level density of states (states/eV per cell): 4.0

a = 5.251 Å, b = 5.251 Å, c = 5.251 Å
α = 60.00°, β = 60.00°, γ = 60.00°
Fractional positions:
Dy1 0.000 0.000 0.000
Ta1 0.750 0.750 0.750
Os1 0.375 0.375 0.375
Os2 0.375 0.375 0.876
Os3 0.375 0.876 0.375
Os4 0.876 0.375 0.375

10.
Crystalline LiIrPt at its relaxed geometry, computed with PBE-GGA.

Values from the calculation:
ΔH_f (0 K) (eV per atom): 0.2649
Excess energy over the best structure of this formula in the dataset (meV/atom): 438
Fermi-level density of states (states/eV per cell): 4.0

a = 4.157 Å, b = 4.157 Å, c = 4.157 Å
α = 60.00°, β = 60.00°, γ = 60.00°
Fractional positions:
Li1 0.000 0.000 0.000
Ir1 0.500 0.500 0.500
Pt1 0.250 0.250 0.250

11.
Crystalline Ho2ScTl3Te6 at its relaxed geometry, computed with PBE-GGA.

Values from the calculation:
Energy relative to the elements, uncorrected (meV per atom): -1002

a = 7.584 Å, b = 7.584 Å, c = 8.551 Å
α = 98.51°, β = 98.51°, γ = 119.97°
Fractional positions:
Ho1 0.166 0.834 0.000
Ho2 0.834 0.166 0.000
Sc1 0.500 0.500 0.000
Tl1 0.000 0.000 0.500
Tl2 0.329 0.671 0.500
Tl3 0.671 0.329 0.500
Te1 0.108 0.431 0.792
Te2 0.248 0.248 0.211
Te3 0.431 0.108 0.792
Te4 0.569 0.892 0.208
Te5 0.752 0.752 0.789
Te6 0.892 0.569 0.208

12.
Crystalline AcZnSiNi3 at its relaxed geometry, computed with PBE-GGA.

Values from the calculation:
Energy relative to the elements, uncorrected (meV per atom): -304
Fermi-level density of states (states/eV per cell): 7.3

a = 6.682 Å, b = 6.682 Å, c = 5.679 Å
α = 90.00°, β = 90.00°, γ = 122.54°
Fractional positions:
Ac1 0.227 0.773 0.750
Ac2 0.773 0.227 0.250
Zn1 0.498 0.502 0.250
Zn2 0.502 0.498 0.750
Si1 0.106 0.894 0.250
Si2 0.894 0.106 0.750
Ni1 0.198 0.198 0.000
Ni2 0.198 0.198 0.500
Ni3 0.296 0.704 0.250
Ni4 0.704 0.296 0.750
Ni5 0.802 0.802 0.000
Ni6 0.802 0.802 0.500

13.
Crystalline AlFeNi3 at its relaxed geometry, computed with PBE-GGA.

Values from the calculation:
ΔH_f (0 K) (eV per atom): 1.1722
Excess energy over the best structure of this formula in the dataset (meV/atom): 1430
Fermi-level density of states (states/eV per cell): 16.6

a = 4.190 Å, b = 4.190 Å, c = 4.190 Å
α = 90.00°, β = 90.00°, γ = 90.00°
Fractional positions:
Al1 0.000 0.000 0.000
Fe1 0.500 0.500 0.500
Ni1 0.000 0.000 0.500
Ni2 0.000 0.500 0.000
Ni3 0.500 0.000 0.000

14.
Crystalline Ba2MnHgSe5 at its relaxed geometry, computed with PBE-GGA.

Values from the calculation:
Energy relative to the elements, uncorrected (meV per atom): -1018
Fermi-level density of states (states/eV per cell): 3.3

a = 10.261 Å, b = 10.261 Å, c = 12.369 Å
α = 90.00°, β = 90.00°, γ = 156.37°
Fractional positions:
Ba1 0.122 0.878 0.500
Ba2 0.126 0.874 0.100
Ba3 0.874 0.126 0.600
Ba4 0.878 0.122 0.000
Mn1 0.224 0.776 0.804
Mn2 0.776 0.224 0.304
Hg1 0.448 0.552 0.232
Hg2 0.552 0.448 0.732
Se1 0.099 0.901 0.836
Se2 0.279 0.721 0.434
Se3 0.285 0.715 0.170
Se4 0.348 0.652 0.801
Se5 0.497 0.503 0.545
Se6 0.503 0.497 0.045
Se7 0.652 0.348 0.301
Se8 0.715 0.285 0.670
Se9 0.721 0.279 0.934
Se10 0.901 0.099 0.336

15.
Crystalline VRuPt at its relaxed geometry, computed with PBE-GGA.

Values from the calculation:
ΔH_f (0 K) (eV per atom): 0.1541
Excess energy over the best structure of this formula in the dataset (meV/atom): 431
Fermi-level density of states (states/eV per cell): 3.0

a = 3.018 Å, b = 3.854 Å, c = 4.203 Å
α = 90.00°, β = 90.00°, γ = 90.00°
Fractional positions:
V1 0.000 0.000 0.000
Ru1 0.500 0.500 0.000
Pt1 0.500 0.000 0.500

16.
Crystalline PmPu2HfSb4 at its relaxed geometry, computed with PBE-GGA.

Values from the calculation:
Energy relative to the elements, uncorrected (meV per atom): -709
Fermi-level density of states (states/eV per cell): 25.8

a = 7.546 Å, b = 4.350 Å, c = 7.568 Å
α = 90.00°, β = 109.24°, γ = 90.00°
Fractional positions:
Pm1 0.000 0.000 0.000
Pu1 0.500 0.000 0.500
Pu2 0.500 0.500 0.000
Hf1 0.000 0.500 0.500
Sb1 0.236 0.000 0.733
Sb2 0.246 0.500 0.262
Sb3 0.754 0.500 0.738
Sb4 0.764 0.000 0.267

17.
Crystalline Sm3Al2Zn3 at its relaxed geometry, computed with PBE-GGA.

Values from the calculation:
ΔH_f (0 K) (eV per atom): -0.3936
Fermi-level density of states (states/eV per cell): 11.3

a = 5.825 Å, b = 5.825 Å, c = 14.848 Å
α = 90.00°, β = 90.00°, γ = 134.43°
Fractional positions:
Sm1 0.094 0.906 0.609
Sm2 0.094 0.906 0.891
Sm3 0.382 0.618 0.750
Sm4 0.618 0.382 0.250
Sm5 0.906 0.094 0.109
Sm6 0.906 0.094 0.391
Al1 0.202 0.798 0.097
Al2 0.202 0.798 0.403
Al3 0.798 0.202 0.597
Al4 0.798 0.202 0.903
Zn1 0.326 0.674 0.250
Zn2 0.387 0.613 0.535
Zn3 0.387 0.613 0.965
Zn4 0.613 0.387 0.035
Zn5 0.613 0.387 0.465
Zn6 0.674 0.326 0.750

18.
Crystalline TiPbSe2O8 at its relaxed geometry, computed with PBE-GGA.

Values from the calculation:
Energy relative to the elements, uncorrected (meV per atom): -1235
Fermi-level density of states (states/eV per cell): 0.5

a = 4.976 Å, b = 4.976 Å, c = 6.520 Å
α = 90.10°, β = 90.10°, γ = 86.01°
Fractional positions:
Ti1 0.000 0.000 0.000
Pb1 0.000 0.000 0.500
Se1 0.436 0.436 0.240
Se2 0.564 0.564 0.760
O1 0.157 0.776 0.227
O2 0.224 0.843 0.773
O3 0.277 0.277 0.046
O4 0.307 0.307 0.462
O5 0.693 0.693 0.538
O6 0.723 0.723 0.954
O7 0.776 0.157 0.227
O8 0.843 0.224 0.773

19.
Crystalline Be5Pt4 at its relaxed geometry, computed with PBE-GGA.

Values from the calculation:
ΔH_f (0 K) (eV per atom): -0.6019
Excess energy over the best structure of this formula in the dataset (meV/atom): 0
Fermi-level density of states (states/eV per cell): 2.1

a = 5.716 Å, b = 5.716 Å, c = 5.716 Å
α = 95.58°, β = 95.58°, γ = 143.67°
Fractional positions:
Be1 0.000 0.000 0.000
Be2 0.325 0.325 0.651
Be3 0.325 0.675 0.000
Be4 0.675 0.325 0.000
Be5 0.675 0.675 0.349
Pt1 0.000 0.290 0.290
Pt2 0.000 0.710 0.710
Pt3 0.290 0.000 0.290
Pt4 0.710 0.000 0.710

20.
Crystalline YHoAgPb at its relaxed geometry, computed with PBE-GGA.

Values from the calculation:
ΔH_f (0 K) (eV per atom): -0.4019
Fermi-level density of states (states/eV per cell): 3.5

a = 5.275 Å, b = 5.275 Å, c = 5.275 Å
α = 60.00°, β = 60.00°, γ = 60.00°
Fractional positions:
Y1 0.000 0.000 0.000
Ho1 0.500 0.500 0.500
Ag1 0.250 0.250 0.250
Pb1 0.750 0.750 0.750

21.
Crystalline CeTmSnRu at its relaxed geometry, computed with PBE-GGA.

Values from the calculation:
ΔH_f (0 K) (eV per atom): -0.3280
Fermi-level density of states (states/eV per cell): 6.2

a = 5.098 Å, b = 5.098 Å, c = 5.098 Å
α = 60.00°, β = 60.00°, γ = 60.00°
Fractional positions:
Ce1 0.000 0.000 0.000
Tm1 0.500 0.500 0.500
Sn1 0.250 0.250 0.250
Ru1 0.750 0.750 0.750

22.
Crystalline VTeI2N at its relaxed geometry, computed with PBE-GGA.

Values from the calculation:
Excess energy over the best structure of this formula in the dataset (meV/atom): 1098
Energy relative to the elements, uncorrected (meV per atom): 1340
Fermi-level density of states (states/eV per cell): 7.1

a = 6.194 Å, b = 6.194 Å, c = 3.968 Å
α = 90.00°, β = 90.00°, γ = 90.00°
Fractional positions:
V1 0.000 0.000 0.000
Te1 0.500 0.500 0.500
I1 0.000 0.500 0.500
I2 0.500 0.000 0.500
N1 0.500 0.500 0.000

23.
Crystalline Fe5Ni3Ir3 at its relaxed geometry, computed with PBE-GGA.

Values from the calculation:
ΔH_f (0 K) (eV per atom): 0.4251
Fermi-level density of states (states/eV per cell): 15.5

a = 8.309 Å, b = 8.309 Å, c = 2.563 Å
α = 90.00°, β = 90.00°, γ = 120.00°
Fractional positions:
Fe1 0.000 0.326 0.000
Fe2 0.326 0.000 0.000
Fe3 0.333 0.667 0.000
Fe4 0.667 0.333 0.000
Fe5 0.674 0.674 0.000
Ni1 0.000 0.839 0.000
Ni2 0.161 0.161 0.000
Ni3 0.839 0.000 0.000
Ir1 0.000 0.586 0.500
Ir2 0.414 0.414 0.500
Ir3 0.586 0.000 0.500

24.
Crystalline TiAl2Pd4 at its relaxed geometry, computed with PBE-GGA.

Values from the calculation:
ΔH_f (0 K) (eV per atom): 0.1716
Fermi-level density of states (states/eV per cell): 4.9

a = 7.095 Å, b = 7.095 Å, c = 7.095 Å
α = 141.38°, β = 141.38°, γ = 55.77°
Fractional positions:
Ti1 0.000 0.000 0.000
Al1 0.389 0.389 0.000
Al2 0.611 0.611 0.000
Pd1 0.000 0.500 0.500
Pd2 0.192 0.192 0.000
Pd3 0.500 0.000 0.500
Pd4 0.808 0.808 0.000